1.
First-principles (GGA-PBE) data for crystalline Na2MgSb2 at its relaxed geometry, as listed in the Alexandria database.

Output
relative energy among the computed polymorphs	0	meV per atom
formation energy (no corrections)	-0.342	eV per atom

The structure in CIF format:
```
data_Na2MgSb2
_space_group_name_H-M_alt 'P 4/m b m'
_space_group_IT_number 127
_space_group_name_Hall '-P 4 2ab'
_cell_length_a 7.5133
_cell_length_b 7.5133
_cell_length_c 5.0913
_cell_angle_alpha 90.00
_cell_angle_beta 90.00
_cell_angle_gamma 90.00
loop_
_atom_site_label
_atom_site_fract_x
_atom_site_fract_y
_atom_site_fract_z
_atom_site_occupancy
Na1 0.1650 0.3350 0.0000 1
Mg1 0.0000 0.0000 0.5000 1
Sb1 0.1381 0.6381 0.5000 1
```

---

2.
First-principles (GGA-PBE) data for crystalline NaMg2Sb2 at its relaxed geometry, as listed in the Alexandria database.

Output
relative energy among the computed polymorphs	0	meV per atom
formation energy (no corrections)	-0.331	eV per atom

The structure in CIF format:
```
data_NaMg2Sb2
_space_group_name_H-M_alt 'I 4/m m m'
_space_group_IT_number 139
_space_group_name_Hall '-I 4 2'
_cell_length_a 4.6845
_cell_length_b 4.6845
_cell_length_c 13.2743
_cell_angle_alpha 90.00
_cell_angle_beta 90.00
_cell_angle_gamma 90.00
loop_
_atom_site_label
_atom_site_fract_x
_atom_site_fract_y
_atom_site_fract_z
_atom_site_occupancy
Na1 0.0000 0.0000 0.0000 1
Mg1 0.0000 0.5000 0.2500 1
Sb1 0.0000 0.0000 0.3788 1
```

---

3.
First-principles (GGA-PBE) data for crystalline Na3MgSb at its relaxed geometry, as listed in the Alexandria database.

Output
relative energy among the computed polymorphs	48	meV per atom
formation energy (no corrections)	-0.023	eV per atom

The structure in CIF format:
```
data_Na3MgSb
_space_group_name_H-M_alt 'P m -3 m'
_space_group_IT_number 221
_space_group_name_Hall '-P 4 2 3'
_cell_length_a 5.9319
_cell_length_b 5.9319
_cell_length_c 5.9319
_cell_angle_alpha 90.00
_cell_angle_beta 90.00
_cell_angle_gamma 90.00
loop_
_atom_site_label
_atom_site_fract_x
_atom_site_fract_y
_atom_site_fract_z
_atom_site_occupancy
Na1 0.0000 0.0000 0.5000 1
Mg1 0.5000 0.5000 0.5000 1
Sb1 0.0000 0.0000 0.0000 1
```

---

4.
First-principles (GGA-PBE) data for crystalline Na2MgSb2 at its relaxed geometry, as listed in the Alexandria database.

Output
relative energy among the computed polymorphs	435	meV per atom
formation energy (no corrections)	0.093	eV per atom

The structure in CIF format:
```
data_Na2MgSb2
_space_group_name_H-M_alt 'P 4/m m m'
_space_group_IT_number 123
_space_group_name_Hall '-P 4 2'
_cell_length_a 3.2367
_cell_length_b 3.2367
_cell_length_c 15.1348
_cell_angle_alpha 90.00
_cell_angle_beta 90.00
_cell_angle_gamma 90.00
loop_
_atom_site_label
_atom_site_fract_x
_atom_site_fract_y
_atom_site_fract_z
_atom_site_occupancy
Na1 0.0000 0.0000 0.1076 1
Mg1 0.0000 0.0000 0.5000 1
Sb1 0.0000 0.0000 0.3116 1
```

---

5.
First-principles (GGA-PBE) data for crystalline NaMgSb at its relaxed geometry, as listed in the Alexandria database.

Output
formation energy (no corrections)	-0.173	eV per atom

The structure in CIF format:
```
data_NaMgSb
_space_group_name_H-M_alt 'I 4 m m'
_space_group_IT_number 107
_space_group_name_Hall 'I 4 -2'
_cell_length_a 4.1808
_cell_length_b 4.1808
_cell_length_c 8.9582
_cell_angle_alpha 90.00
_cell_angle_beta 90.00
_cell_angle_gamma 90.00
loop_
_atom_site_label
_atom_site_fract_x
_atom_site_fract_y
_atom_site_fract_z
_atom_site_occupancy
Na1 0.0000 0.0000 0.0000 1
Mg1 0.0000 0.0000 0.6852 1
Sb1 0.0000 0.0000 0.3301 1
```

---

6.
First-principles (GGA-PBE) data for crystalline NaMg6Sb at its relaxed geometry, as listed in the Alexandria database.

Output
relative energy among the computed polymorphs	3	meV per atom
formation energy (no corrections)	-0.044	eV per atom

The structure in CIF format:
```
data_NaMg6Sb
_space_group_name_H-M_alt 'A m m 2'
_space_group_IT_number 38
_space_group_name_Hall 'A 2 -2'
_cell_length_a 5.0847
_cell_length_b 6.3931
_cell_length_c 11.7989
_cell_angle_alpha 90.00
_cell_angle_beta 90.00
_cell_angle_gamma 90.00
loop_
_atom_site_label
_atom_site_fract_x
_atom_site_fract_y
_atom_site_fract_z
_atom_site_occupancy
Na1 0.0000 0.0000 0.0000 1
Mg1 0.0000 0.2497 0.2463 1
Mg2 0.5000 0.0000 0.1636 1
Mg3 0.5000 0.0000 0.6633 1
Mg4 0.5000 0.2466 0.9067 1
Sb1 0.0000 0.0000 0.4871 1
```

---

7.
First-principles (GGA-PBE) data for crystalline NaMgSb at its relaxed geometry, as listed in the Alexandria database.

Output
formation energy (no corrections)	-0.227	eV per atom

The structure in CIF format:
```
data_NaMgSb
_space_group_name_H-M_alt 'P 3 m 1'
_space_group_IT_number 156
_space_group_name_Hall 'P 3 -2"'
_cell_length_a 5.1100
_cell_length_b 5.1100
_cell_length_c 3.5014
_cell_angle_alpha 90.00
_cell_angle_beta 90.00
_cell_angle_gamma 120.00
loop_
_atom_site_label
_atom_site_fract_x
_atom_site_fract_y
_atom_site_fract_z
_atom_site_occupancy
Na1 0.0000 0.0000 0.0000 1
Mg1 0.3333 0.6667 0.4959 1
Sb1 0.6667 0.3333 0.4993 1
```

---

8.
First-principles (GGA-PBE) data for crystalline NaMg3Sb at its relaxed geometry, as listed in the Alexandria database.

Output
relative energy among the computed polymorphs	382	meV per atom
formation energy (no corrections)	0.637	eV per atom

The structure in CIF format:
```
data_NaMg3Sb
_space_group_name_H-M_alt 'P m -3 m'
_space_group_IT_number 221
_space_group_name_Hall '-P 4 2 3'
_cell_length_a 5.2558
_cell_length_b 5.2558
_cell_length_c 5.2558
_cell_angle_alpha 90.00
_cell_angle_beta 90.00
_cell_angle_gamma 90.00
loop_
_atom_site_label
_atom_site_fract_x
_atom_site_fract_y
_atom_site_fract_z
_atom_site_occupancy
Na1 0.0000 0.0000 0.0000 1
Mg1 0.0000 0.0000 0.5000 1
Sb1 0.5000 0.5000 0.5000 1
```